[1]
# NaAsN2F | the Alexandria database | GGA-PBE | optimized geometry
data_NaAsN2F
_chemical_formula_sum 'Na1 As1 N2 F1'
_space_group_name_H-M_alt 'P 4/m m m'
_space_group_IT_number 123
_space_group_name_Hall '-P 4 2'
_cell_length_a 3.6760
_cell_length_b 3.6760
_cell_length_c 4.5358
_cell_angle_alpha 90.00
_cell_angle_beta 90.00
_cell_angle_gamma 90.00
loop_
_atom_site_label
_atom_site_type_symbol
_atom_site_fract_x
_atom_site_fract_y
_atom_site_fract_z
Na1 Na 0.0000 0.0000 0.0000
As1 As 0.5000 0.5000 0.5000
N1 N 0.0000 0.5000 0.5000
F1 F 0.5000 0.5000 0.0000
# **Formation energy from raw total energies**: 44 meV per atom
# **Distance to the lowest polymorph of the same formula**: 0.000 eV per atom


[2]
# NaAsN2F | the Alexandria database | GGA-PBE | optimized geometry
data_NaAsN2F
_chemical_formula_sum 'Na1 As1 N2 F1'
_space_group_name_H-M_alt 'P 4/m m m'
_space_group_IT_number 123
_space_group_name_Hall '-P 4 2'
_cell_length_a 4.4007
_cell_length_b 4.4007
_cell_length_c 3.8756
_cell_angle_alpha 90.00
_cell_angle_beta 90.00
_cell_angle_gamma 90.00
loop_
_atom_site_label
_atom_site_type_symbol
_atom_site_fract_x
_atom_site_fract_y
_atom_site_fract_z
Na1 Na 0.0000 0.0000 0.0000
As1 As 0.5000 0.5000 0.5000
N1 N 0.0000 0.5000 0.0000
F1 F 0.0000 0.0000 0.5000
# **Formation energy from raw total energies**: 1346 meV per atom
# **Distance to the lowest polymorph of the same formula**: 1.302 eV per atom